GeSO3 PBE relaxed; DOS(E_F) = 0.400 states/eV/atom; calculated density = 5.0 g/cm³; spin magnetization = 0.0 μB/cell; symmetry = Pm-3m
1.0
3.712 0.000 0.000
0.000 3.712 0.000
0.000 0.000 3.712
Ge S O
1 1 3
Direct
0.000 0.000 0.000
0.500 0.500 0.500
0.000 0.000 0.500
0.000 0.500 0.000
0.500 0.000 0.000


Ge3SO PBE relaxed; DOS(E_F) = 0.891 states/eV/atom; calculated density = 3.7 g/cm³; spin magnetization = 0.0 μB/cell; symmetry = Pm-3m
1.0
4.941 0.000 0.000
0.000 4.941 0.000
0.000 0.000 4.941
Ge S O
3 1 1
Direct
0.000 0.000 0.500
0.000 0.500 0.000
0.500 0.000 0.000
0.000 0.000 0.000
0.500 0.500 0.500


GeSO PBE relaxed; DOS(E_F) = 0.167 states/eV/atom; calculated density = 3.9 g/cm³; spin magnetization = 0.0 μB/cell; symmetry = P2_1/m
1.0
3.168 0.000 0.000
0.000 5.015 0.000
-1.574 0.000 6.464
Ge S O
2 2 2
Direct
0.092 0.250 0.196
0.908 0.750 0.804
0.105 0.750 0.150
0.895 0.250 0.850
0.337 0.750 0.663
0.663 0.250 0.337


Summary of formation energy (no corrections) in eV/atom
-0.169 0.934 -0.640
(order as listed above)